Record 1
The following is a GGA-PBE calculation of an optimized crystal structure of Tb6AlHg2, from Alexandria via LeMat-Bulk.

Lattice parameters (Å, degrees): 9.984 8.130 6.839 83.19 53.96 42.86
Fractional positions:
Tb: 0.016 0.316 0.684
Tb: 0.316 0.016 0.984
Tb: 0.345 0.655 0.345
Tb: 0.655 0.345 0.655
Tb: 0.684 0.984 0.016
Tb: 0.984 0.684 0.316
Al: 0.000 0.000 0.000
Hg: 0.339 0.339 0.661
Hg: 0.661 0.661 0.339

## Properties
Energy relative to the lowest polymorph listed for this composition: 0 meV per atom

=====

Record 2
The following is a GGA-PBE calculation of an optimized crystal structure of Tb3AlHg5, from Alexandria via LeMat-Bulk.

Lattice parameters (Å, degrees): 8.915 8.915 6.315 90.00 90.00 120.00
Fractional positions:
Tb: 0.000 0.336 0.250
Tb: 0.000 0.664 0.750
Tb: 0.336 0.000 0.250
Tb: 0.336 0.336 0.750
Tb: 0.664 0.000 0.750
Tb: 0.664 0.664 0.250
Al: 0.000 0.000 0.000
Al: 0.000 0.000 0.500
Hg: 0.000 0.326 0.750
Hg: 0.000 0.674 0.250
Hg: 0.326 0.000 0.750
Hg: 0.326 0.326 0.250
Hg: 0.333 0.667 0.000
Hg: 0.333 0.667 0.500
Hg: 0.667 0.333 0.000
Hg: 0.667 0.333 0.500
Hg: 0.674 0.000 0.250
Hg: 0.674 0.674 0.750

## Properties
Uncorrected energy: -2.523 eV/atom

=====

Record 3
The following is a GGA-PBE calculation of an optimized crystal structure of Tb3Al4Hg2, from Alexandria via LeMat-Bulk.

Lattice parameters (Å, degrees): 5.894 5.894 8.773 111.83 111.83 46.13
Fractional positions:
Tb: 0.000 0.000 0.000
Tb: 0.333 0.333 0.333
Tb: 0.667 0.667 0.667
Al: 0.042 0.042 0.380
Al: 0.264 0.264 0.935
Al: 0.736 0.736 0.065
Al: 0.958 0.958 0.620
Hg: 0.387 0.387 0.721
Hg: 0.613 0.613 0.279

## Properties
Uncorrected energy: -3.742 eV/atom